Sm6Bi2TeAs3 | Alexandria | PBE | relaxed; magnetization = 0.0 μB/f.u.; VASP energy = -5.7547 eV per atom; E_form (uncorrected) = -1.32 eV/atom; calculated volume = 353.1 Å³/f.u.; DOS at the Fermi energy = 2.31 states/eV per cell
1.0
9.549 -2.170 0.000
9.549 2.170 0.000
-2.164 0.000 8.519
Sm Bi Te As
6 2 1 3
Cartesian
-0.409 0.000 2.002
5.335 0.000 3.659
4.504 0.000 7.703
12.429 0.000 0.816
11.598 0.000 4.860
17.342 0.000 6.517
1.372 0.000 7.090
15.561 0.000 1.428
8.466 0.000 4.259
2.450 0.000 2.844
9.549 0.000 0.000
14.483 0.000 5.675